Density functional theory data (GGA+U) for crystalline TlBMo2O8 at its relaxed geometry.

```
TlBMo2O8
1.0
5.3568 0.0000 0.0000
-2.6784 4.6391 0.0000
0.0000 0.0000 7.7847
Tl B Mo O
1 1 2 8
Direct
0.0000 0.0000 0.0000
0.0000 0.0000 0.5000
0.3333 0.6667 0.3016
0.6667 0.3333 0.6984
0.1478 0.2955 0.3713
0.1478 0.8522 0.3713
0.2955 0.1478 0.6287
0.3333 0.6667 0.0753
0.6667 0.3333 0.9247
0.7045 0.8522 0.3713
0.8522 0.1478 0.6287
0.8522 0.7045 0.6287
```

Computed properties:
Fermi-level density of states in states/eV per cell: 0.00
SG: No. 164
DFT total energy in eV/atom: -6.59
Volume in Å³ per cell: 193.5